1) VASP calculation (GGA-PBE) on a geometry-optimized Ba4SbRh structure.

## Properties
- DOS at the Fermi energy: 0.826 states/eV per atom

Unit cell a=10.5090 b=15.1171 c=7.6408 alpha=90.00 beta=123.04 gamma=90.00
Space group C2/c (No. 15)
Unique sites:
Ba (0.1156, 0.1713, 0.0828) x8
Ba (0.2174, 0.4402, 0.2925) x8
Sb (0.0000, 0.3674, 0.7500) x4
Rh (0.0000, 0.0028, 0.7500) x4

---

2) VASP calculation (GGA-PBE) on a geometry-optimized Ba4SbRh structure.

## Properties
- DOS at the Fermi energy: 0.506 states/eV per atom

Unit cell a=9.7299 b=9.7299 c=9.7299 alpha=90.00 beta=90.00 gamma=90.00
Space group F-43m (No. 216)
Unique sites:
Ba (0.1251, 0.1251, 0.1251) x16
Sb (0.0000, 0.0000, 0.5000) x4
Rh (0.2500, 0.2500, 0.7500) x4

---

Stability ranking, top and bottom: 1) is the most stable and 2) is the least stable.

---

1) VASP calculation (GGA-PBE) on a geometry-optimized BaScRh2 structure.

## Properties
- DOS at the Fermi energy: 1.592 states/eV per atom

Unit cell a=6.8847 b=6.8847 c=6.8847 alpha=90.00 beta=90.00 gamma=90.00
Space group F-43m (No. 216)
Unique sites:
Ba (0.0000, 0.0000, 0.0000) x4
Sc (0.2500, 0.2500, 0.7500) x4
Rh (0.0000, 0.0000, 0.5000) x4
Rh (0.2500, 0.2500, 0.2500) x4

---

2) VASP calculation (GGA-PBE) on a geometry-optimized BaScRh2 structure.

## Properties
- DOS at the Fermi energy: 0.492 states/eV per atom

Unit cell a=5.2947 b=5.2947 c=16.4060 alpha=90.00 beta=90.00 gamma=90.00
Space group I-42d (No. 122)
Unique sites:
Ba (0.0000, 0.0000, 0.0000) x4
Sc (0.0000, 0.0000, 0.5000) x4
Rh (0.0517, 0.2500, 0.6250) x8

---

3) VASP calculation (GGA-PBE) on a geometry-optimized BaScRh2 structure.

## Properties
- DOS at the Fermi energy: 0.499 states/eV per atom

Unit cell a=5.0103 b=5.0103 c=3.4312 alpha=90.00 beta=90.00 gamma=90.00
Space group P4/mmm (No. 123)
Unique sites:
Ba (0.0000, 0.0000, 0.0000) x1
Sc (0.5000, 0.5000, 0.0000) x1
Rh (0.0000, 0.5000, 0.5000) x2

---

Stability ranking, top and bottom: 3) is the most stable and 1) is the least stable.

---

1) VASP calculation (GGA-PBE) on a geometry-optimized BaScRh2 structure.

## Properties
- DOS at the Fermi energy: 0.757 states/eV per atom

Unit cell a=3.2929 b=4.1290 c=6.9232 alpha=90.00 beta=90.00 gamma=90.00
Space group Pmm2 (No. 25)
Unique sites:
Ba (0.0000, 0.0000, 0.0000) x1
Sc (0.5000, 0.5000, 0.5766) x1
Rh (0.0000, 0.0000, 0.4779) x1
Rh (0.5000, 0.5000, 0.2346) x1

---

2) VASP calculation (GGA-PBE) on a geometry-optimized BaScRh2 structure.

## Properties
- DOS at the Fermi energy: 0.741 states/eV per atom

Unit cell a=6.9912 b=6.9912 c=6.9912 alpha=90.00 beta=90.00 gamma=90.00
Space group Fm-3m (No. 225)
Unique sites:
Ba (0.0000, 0.0000, 0.0000) x4
Sc (0.0000, 0.0000, 0.5000) x4
Rh (0.2500, 0.2500, 0.2500) x8

---

3) VASP calculation (GGA-PBE) on a geometry-optimized BaScRh2 structure.

## Properties
- DOS at the Fermi energy: 0.561 states/eV per atom

Unit cell a=3.3218 b=5.0218 c=10.5067 alpha=90.00 beta=90.00 gamma=90.00
Space group Imm2 (No. 44)
Unique sites:
Ba (0.0000, 0.0000, 0.0000) x2
Sc (0.0000, 0.5000, 0.2098) x2
Rh (0.0000, 0.0000, 0.5127) x2
Rh (0.0000, 0.5000, 0.7767) x2

---

4) VASP calculation (GGA-PBE) on a geometry-optimized BaScRh2 structure.

## Properties
- DOS at the Fermi energy: 0.801 states/eV per atom

Unit cell a=4.0641 b=4.0641 c=10.3978 alpha=90.00 beta=90.00 gamma=90.00
Space group I-4m2 (No. 119)
Unique sites:
Ba (0.0000, 0.0000, 0.0000) x2
Sc (0.0000, 0.5000, 0.2500) x2
Rh (0.0000, 0.0000, 0.5000) x2
Rh (0.0000, 0.5000, 0.7500) x2

---

Stability ranking, top and bottom: 2) is the most stable and 4) is the least stable.

---

1) VASP calculation (GGA-PBE) on a geometry-optimized BaScRh2 structure.

## Properties
- DOS at the Fermi energy: 0.775 states/eV per atom

Unit cell a=3.8475 b=4.1022 c=6.5109 alpha=90.00 beta=107.17 gamma=90.00
Space group Pm (No. 6)
Unique sites:
Ba (0.0000, 0.0000, 0.0000) x1
Sc (0.2629, 0.5000, 0.5277) x1
Rh (0.6193, 0.5000, 0.2389) x1
Rh (0.7521, 0.0000, 0.5074) x1

---

2) VASP calculation (GGA-PBE) on a geometry-optimized BaScRh2 structure.

## Properties
- DOS at the Fermi energy: 0.622 states/eV per atom

Unit cell a=4.3994 b=4.3994 c=17.5654 alpha=90.00 beta=90.00 gamma=120.00
Space group R-3m (No. 166, hexagonal axes)
Unique sites:
Ba (0.0000, 0.0000, 0.0000) x3
Sc (0.0000, 0.0000, 0.5000) x3
Rh (0.0000, 0.0000, 0.2067) x6

---

3) VASP calculation (GGA-PBE) on a geometry-optimized BaScRh2 structure.

## Properties
- DOS at the Fermi energy: 0.662 states/eV per atom

Unit cell a=3.3309 b=3.3487 c=7.6471 alpha=90.00 beta=90.08 gamma=90.00
Space group P2/m (No. 10)
Unique sites:
Ba (0.0000, 0.0000, 0.0000) x1
Sc (0.0000, 0.0000, 0.5000) x1
Rh (0.4995, 0.5000, 0.3053) x2

---

Stability ranking, top and bottom: 3) is the most stable and 1) is the least stable.

---

1) VASP calculation (GGA-PBE) on a geometry-optimized Ba4RhSe structure.

## Properties
- DOS at the Fermi energy: 0.797 states/eV per atom

Unit cell a=9.7016 b=9.7016 c=9.7016 alpha=90.00 beta=90.00 gamma=90.00
Space group F-43m (No. 216)
Unique sites:
Ba (0.1249, 0.1249, 0.1249) x16
Rh (0.2500, 0.2500, 0.7500) x4
Se (0.0000, 0.0000, 0.5000) x4

---

2) VASP calculation (GGA-PBE) on a geometry-optimized Ba4RhSe structure.

## Properties
- DOS at the Fermi energy: 0.743 states/eV per atom

Unit cell a=4.6120 b=8.0881 c=8.2407 alpha=100.43 beta=90.02 gamma=106.50
Space group P-1 (No. 2)
Unique sites:
Ba (0.1112, 0.2237, 0.3473) x2
Ba (0.3874, 0.7741, 0.1208) x2
Rh (0.0000, 0.0000, 0.0000) x1
Se (0.5000, 0.0000, 0.5000) x1

---

Stability ranking, top and bottom: 2) is the most stable and 1) is the least stable.

---

1) VASP calculation (GGA-PBE) on a geometry-optimized BaRhSe structure.

## Properties
- DOS at the Fermi energy: 0.561 states/eV per atom

Unit cell a=4.3460 b=4.3460 c=4.7119 alpha=90.00 beta=90.00 gamma=120.00
Space group P-6m2 (No. 187)
Unique sites:
Ba (0.0000, 0.0000, 0.0000) x1
Rh (0.6667, 0.3333, 0.5000) x1
Se (0.3333, 0.6667, 0.5000) x1

---

2) VASP calculation (GGA-PBE) on a geometry-optimized BaRhSe structure.

## Properties
- DOS at the Fermi energy: 1.261 states/eV per atom

Unit cell a=4.4304 b=4.4409 c=9.0074 alpha=90.00 beta=90.00 gamma=90.00
Space group Imm2 (No. 44)
Unique sites:
Ba (0.0000, 0.0000, 0.0000) x2
Rh (0.0000, 0.0000, 0.3852) x2
Se (0.0000, 0.0000, 0.6470) x2

---

Stability ranking, top and bottom: 1) is the most stable and 2) is the least stable.

---

1) VASP calculation (GGA-PBE) on a geometry-optimized BaRhSe structure.

## Properties
- DOS at the Fermi energy: 1.459 states/eV per atom

Unit cell a=6.8575 b=6.8575 c=6.8575 alpha=90.00 beta=90.00 gamma=90.00
Space group F-43m (No. 216)
Unique sites:
Ba (0.0000, 0.0000, 0.0000) x4
Rh (0.2500, 0.2500, 0.7500) x4
Se (0.0000, 0.0000, 0.5000) x4

---

2) VASP calculation (GGA-PBE) on a geometry-optimized BaRhSe structure.

## Properties
- DOS at the Fermi energy: 0.511 states/eV per atom

Unit cell a=5.2130 b=5.2313 c=11.0217 alpha=90.00 beta=90.00 gamma=90.00
Space group Fmm2 (No. 42)
Unique sites:
Ba (0.0000, 0.0000, 0.0000) x4
Rh (0.0000, 0.0000, 0.2751) x4
Se (0.0000, 0.0000, 0.7194) x4

---

3) VASP calculation (GGA-PBE) on a geometry-optimized BaRhSe structure.

## Properties
- DOS at the Fermi energy: 1.142 states/eV per atom

Unit cell a=11.7230 b=4.3970 c=6.1286 alpha=90.00 beta=90.00 gamma=90.00
Space group Amm2 (No. 38)
Unique sites:
Ba (0.1760, 0.0000, 0.0000) x4
Rh (0.0000, 0.0000, 0.5094) x2
Rh (0.5000, 0.0000, 0.0651) x2
Se (0.3793, 0.0000, 0.4058) x4

---

Stability ranking, top and bottom: 2) is the most stable and 3) is the least stable.

---

1) VASP calculation (GGA-PBE) on a geometry-optimized BaRhSe3 structure.

## Properties
- DOS at the Fermi energy: 3.196 states/eV per atom

Unit cell a=6.0380 b=6.0380 c=6.0380 alpha=90.00 beta=90.00 gamma=90.00
Space group Pm-3m (No. 221)
Unique sites:
Ba (0.0000, 0.0000, 0.0000) x1
Rh (0.5000, 0.5000, 0.5000) x1
Se (0.0000, 0.0000, 0.5000) x3

---

2) VASP calculation (GGA-PBE) on a geometry-optimized BaRhSe3 structure.

## Properties
- DOS at the Fermi energy: 1.379 states/eV per atom

Unit cell a=5.0449 b=5.0449 c=5.0449 alpha=90.00 beta=90.00 gamma=90.00
Space group Pm-3m (No. 221)
Unique sites:
Ba (0.0000, 0.0000, 0.0000) x1
Rh (0.5000, 0.5000, 0.5000) x1
Se (0.0000, 0.5000, 0.5000) x3

---

Stability ranking, top and bottom: 2) is the most stable and 1) is the least stable.

---

1) VASP calculation (GGA-PBE) on a geometry-optimized BaSm2Rh structure.

## Properties
- DOS at the Fermi energy: 0.991 states/eV per atom

Unit cell a=4.0597 b=4.0597 c=32.5335 alpha=90.00 beta=90.00 gamma=120.00
Space group R-3m (No. 166, hexagonal axes)
Unique sites:
Ba (0.0000, 0.0000, 0.0000) x3
Sm (0.0000, 0.0000, 0.1199) x6
Rh (0.0000, 0.0000, 0.5000) x3

---

2) VASP calculation (GGA-PBE) on a geometry-optimized BaSm2Rh structure.

## Properties
- DOS at the Fermi energy: 0.929 states/eV per atom

Unit cell a=3.6251 b=3.6251 c=9.9444 alpha=90.00 beta=90.00 gamma=90.00
Space group P4/mmm (No. 123)
Unique sites:
Ba (0.0000, 0.0000, 0.0000) x1
Sm (0.5000, 0.5000, 0.3379) x2
Rh (0.0000, 0.0000, 0.5000) x1

---

Stability ranking, top and bottom: 2) is the most stable and 1) is the least stable.

---

1) VASP calculation (GGA-PBE) on a geometry-optimized BaSmRh structure.

## Properties
- DOS at the Fermi energy: 0.645 states/eV per atom

Unit cell a=22.5757 b=5.1312 c=7.7561 alpha=90.00 beta=94.20 gamma=90.00
Space group C2/m (No. 12)
Unique sites:
Ba (0.0795, 0.0000, 0.2992) x4
Ba (0.0930, 0.5000, 0.8213) x4
Sm (0.2116, 0.0000, 0.6085) x4
Sm (0.2311, 0.0000, 0.1287) x4
Rh (0.1726, 0.5000, 0.5102) x4
Rh (0.1856, 0.5000, 0.1543) x4

---

2) VASP calculation (GGA-PBE) on a geometry-optimized BaSmRh structure.

## Properties
- DOS at the Fermi energy: 0.661 states/eV per atom

Unit cell a=3.6697 b=3.6697 c=14.2268 alpha=90.00 beta=90.00 gamma=90.00
Space group I4mm (No. 107)
Unique sites:
Ba (0.0000, 0.0000, 0.0000) x2
Sm (0.0000, 0.0000, 0.2490) x2
Rh (0.0000, 0.0000, 0.6567) x2

---

Stability ranking, top and bottom: 1) is the most stable and 2) is the least stable.

---

1) VASP calculation (GGA-PBE) on a geometry-optimized BaSnRh3 structure.

## Properties
- DOS at the Fermi energy: 0.991 states/eV per atom

Unit cell a=4.9851 b=4.9851 c=4.9851 alpha=90.00 beta=90.00 gamma=90.00
Space group Pm-3m (No. 221)
Unique sites:
Ba (0.0000, 0.0000, 0.0000) x1
Sn (0.5000, 0.5000, 0.5000) x1
Rh (0.0000, 0.5000, 0.5000) x3

---

2) VASP calculation (GGA-PBE) on a geometry-optimized BaSnRh3 structure.

## Properties
- DOS at the Fermi energy: 1.002 states/eV per atom

Unit cell a=5.0911 b=5.0911 c=5.0911 alpha=90.00 beta=90.00 gamma=90.00
Space group Pm-3m (No. 221)
Unique sites:
Ba (0.0000, 0.0000, 0.0000) x1
Sn (0.5000, 0.5000, 0.5000) x1
Rh (0.0000, 0.0000, 0.5000) x3

---

Stability ranking, top and bottom: 1) is the most stable and 2) is the least stable.